Record 1
Compound: YAuCl
Source: Alexandria
Functional: PBE
Structure: optimized geometry

Summary:
crystal system = hexagonal
space group = P-6m2 (187)
offset from the most stable computed form = 0.110 eV per atom
total magnetization = 0.000 μB/cell
volume = 71 Å³ per cell
formation energy from raw total energies = -0.984 eV/atom

Lattice parameters (Å, degrees): 4.6860 4.6860 3.7215 90.00 90.00 120.00
Fractional positions:
Cl: 0.3333 0.6667 0.4994
Au: 0.0000 0.0000 0.0000
Y: 0.6667 0.3333 0.5006

=====

Record 2
Compound: Pr3Nd3ErTe8
Source: Alexandria
Functional: PBE
Structure: optimized geometry

Summary:
crystal system = trigonal
space group = R-3m (166)
total magnetization = 0.000 μB/cell
volume = 513 Å³ per cell
formation energy from raw total energies = -1.445 eV/atom

Lattice parameters (Å, degrees): 8.9749 8.9757 8.9945 119.94 90.00 120.00
Fractional positions:
Nd: 0.5000 0.0000 0.5000
Pr: 0.5000 0.5000 0.0000
Te: 0.7492 0.4984 0.7475
Pr: 0.0000 0.0000 0.0000
Te: 0.7532 0.5063 0.2548
Nd: 0.0000 0.5000 0.5000
Te: 0.7516 0.9984 0.7451
Te: 0.2508 0.5016 0.2525
Te: 0.2468 0.4937 0.7452
Te: 0.2484 0.0016 0.2549
Te: 0.2468 0.9984 0.7451
Te: 0.7532 0.0016 0.2549
Er: 0.0000 0.0000 0.5000
Pr: 0.0000 0.5000 0.0000
Nd: 0.5000 0.5000 0.5000